DFT (PBE) results for a relaxed Ag2Sn2S crystal.

Structure (extended XYZ):
```
10
Lattice="7.1662 0.0000 0.0000 0.0000 7.1662 0.0000 0.0000 0.0000 4.3830" Properties=species:S:1:pos:R:3 pbc="T T T"
Ag 0.9885 2.5946 0.0000
Ag 2.5946 6.1778 0.0000
Ag 4.5716 0.9885 0.0000
Ag 6.1778 4.5716 0.0000
Sn 1.1591 4.7422 2.1915
Sn 2.4240 1.1591 2.1915
Sn 4.7422 6.0071 2.1915
Sn 6.0071 2.4240 2.1915
S 0.0000 0.0000 0.0000
S 3.5831 3.5831 0.0000
```

Summary:
The value obtained for the offset from the most stable computed form is 0 meV per atom. For the uncorrected energy, the calculation gives -34.52 eV for the cell shown. Its formation energy without anion corrections is 0.6 eV/f.u. The value obtained for the density of states at the Fermi level is 1.721 states/eV/f.u.